[1]
## Pr3AsS5Cl2 (meta-GGA SCAN)

Data for Pr3AsS5Cl2 at its PBEsol-relaxed geometry.

**Energy relative to the elements, uncorrected**: -1.96 eV per atom
**Space group**: Cc

Geometry as POSCAR:
```
Pr3AsS5Cl2
1.0
10.861 -3.452 0.000
10.861 3.452 0.000
-1.057 0.000 6.893
Pr As S Cl
6 2 10 4
Direct
0.055 0.637 0.845
0.203 0.797 0.500
0.488 0.912 0.865
0.637 0.055 0.345
0.797 0.203 0.000
0.912 0.488 0.365
0.353 0.736 0.064
0.736 0.353 0.564
0.001 0.162 0.371
0.162 0.001 0.871
0.393 0.543 0.832
0.543 0.393 0.332
0.562 0.665 0.529
0.665 0.562 0.029
0.714 0.827 0.603
0.827 0.714 0.103
0.867 0.986 0.667
0.986 0.867 0.167
0.111 0.319 0.735
0.228 0.449 0.477
0.319 0.111 0.235
0.449 0.228 0.977
```

=====

[2]
## AsPtCl2 (meta-GGA SCAN)

Data for AsPtCl2 at its PBEsol-relaxed geometry.

**Energy relative to the elements, uncorrected**: 0.32 eV per atom
**Space group**: Cmmm

Geometry as POSCAR:
```
AsPtCl2
1.0
1.511 -2.862 0.000
1.511 2.862 0.000
0.000 0.000 8.707
As Pt Cl
1 1 2
Direct
0.000 0.000 0.000
0.000 0.000 0.500
0.500 0.500 0.288
0.500 0.500 0.712
```

=====

[3]
## AsPtCl2 (meta-GGA SCAN)

Data for AsPtCl2 at its PBEsol-relaxed geometry.

**Energy relative to the elements, uncorrected**: 0.79 eV per atom
**Space group**: P4/mmm

Geometry as POSCAR:
```
AsPtCl2
1.0
4.224 0.000 0.000
0.000 4.224 0.000
0.000 0.000 3.903
As Pt Cl
1 1 2
Direct
0.000 0.000 0.000
0.500 0.500 0.000
0.000 0.500 0.500
0.500 0.000 0.500
```

=====

[4]
## AsPtCl2 (meta-GGA SCAN)

Data for AsPtCl2 at its PBEsol-relaxed geometry.

**Energy relative to the elements, uncorrected**: 0.20 eV per atom
**Space group**: R-3m

Geometry as POSCAR:
```
AsPtCl2
1.0
1.540 0.889 8.758
-1.540 0.889 8.758
0.000 -1.778 8.758
As Pt Cl
1 1 2
Direct
0.000 0.000 0.000
0.500 0.500 0.500
0.414 0.414 0.414
0.586 0.586 0.586
```

=====

[5]
## AsPtCl2 (meta-GGA SCAN)

Data for AsPtCl2 at its PBEsol-relaxed geometry.

**Energy relative to the elements, uncorrected**: 0.77 eV per atom
**Space group**: Cmmm

Geometry as POSCAR:
```
AsPtCl2
1.0
2.974 -3.950 0.000
2.974 3.950 0.000
0.000 0.000 2.940
As Pt Cl
1 1 2
Direct
0.000 0.000 0.000
0.500 0.500 0.000
0.000 0.500 0.500
0.500 0.000 0.500
```

=====

[6]
## AsPtCl2 (meta-GGA SCAN)

Data for AsPtCl2 at its PBEsol-relaxed geometry.

**Energy relative to the elements, uncorrected**: 0.26 eV per atom
**Space group**: Fmmm

Geometry as POSCAR:
```
AsPtCl2
1.0
0.000 3.079 4.113
2.846 0.000 4.113
2.846 3.079 0.000
As Pt Cl
1 1 2
Direct
0.000 0.000 0.000
0.500 0.500 0.500
0.000 0.500 0.500
0.500 0.000 0.000
```

=====

[7]
## AsPt2Cl (meta-GGA SCAN)

Data for AsPt2Cl at its PBEsol-relaxed geometry.

**Energy relative to the elements, uncorrected**: 0.21 eV per atom
**Space group**: Cmmm

Geometry as POSCAR:
```
AsPt2Cl
1.0
2.258 -2.282 0.000
2.258 2.282 0.000
0.000 0.000 6.434
As Pt Cl
1 2 1
Direct
0.000 0.000 0.000
0.500 0.500 0.214
0.500 0.500 0.786
0.000 0.000 0.500
```

=====

[8]
## AsPt2Cl (meta-GGA SCAN)

Data for AsPt2Cl at its PBEsol-relaxed geometry.

**Energy relative to the elements, uncorrected**: 0.22 eV per atom
**Space group**: Imm2

Geometry as POSCAR:
```
AsPt2Cl
1.0
-1.428 2.118 5.526
1.428 -2.118 5.526
1.428 2.118 -5.526
As Pt Cl
1 2 1
Direct
0.000 0.000 0.000
0.204 0.704 0.500
0.431 0.431 0.000
0.713 0.213 0.500
```

=====

[9]
## AsPt2Cl (meta-GGA SCAN)

Data for AsPt2Cl at its PBEsol-relaxed geometry.

**Energy relative to the elements, uncorrected**: 0.21 eV per atom
**Space group**: Immm

Geometry as POSCAR:
```
AsPt2Cl
1.0
-1.554 2.949 3.953
1.554 -2.949 3.953
1.554 2.949 -3.953
As Pt Cl
1 2 1
Direct
0.000 0.000 0.000
0.229 0.729 0.500
0.771 0.271 0.500
0.500 0.500 0.000
```

=====

[10]
## AsPtCl2 (meta-GGA SCAN)

Data for AsPtCl2 at its PBEsol-relaxed geometry.

**Energy relative to the elements, uncorrected**: -0.59 eV per atom
**Space group**: Cm

Geometry as POSCAR:
```
AsPtCl2
1.0
3.329 -1.838 0.000
3.329 1.838 0.000
-0.468 0.000 7.799
As Pt Cl
1 1 2
Direct
0.000 0.000 0.000
0.325 0.325 0.867
0.014 0.014 0.278
0.754 0.754 0.657
```

=====

[11]
## Rb3AsCl (meta-GGA SCAN)

Data for Rb3AsCl at its PBEsol-relaxed geometry.

**Energy relative to the elements, uncorrected**: -0.85 eV per atom
**Space group**: Pm-3m

Geometry as POSCAR:
```
Rb3AsCl
1.0
6.030 0.000 0.000
0.000 6.030 0.000
0.000 0.000 6.030
Rb As Cl
3 1 1
Direct
0.000 0.000 0.500
0.000 0.500 0.000
0.500 0.000 0.000
0.500 0.500 0.500
0.000 0.000 0.000
```

=====

[12]
## Rb3AsCl6 (meta-GGA SCAN)

Data for Rb3AsCl6 at its PBEsol-relaxed geometry.

**Energy relative to the elements, uncorrected**: -1.59 eV per atom
**Space group**: Fm-3m

Geometry as POSCAR:
```
Rb3AsCl6
1.0
0.000 5.491 5.491
5.491 0.000 5.491
5.491 5.491 0.000
Rb As Cl
3 1 6
Direct
0.000 0.000 0.000
0.250 0.250 0.250
0.750 0.750 0.750
0.500 0.500 0.500
0.275 0.275 0.725
0.275 0.725 0.275
0.275 0.725 0.725
0.725 0.275 0.275
0.725 0.275 0.725
0.725 0.725 0.275
```